Computed, not measured: a relaxed structure of ZrIn2Hg at the PBE level of DFT.

Lattice parameters (Å, degrees): 5.546 5.546 3.199 90.00 90.00 110.58
Atoms (fractional coordinates):
Zr1 0.000 0.000 0.000
In1 0.000 0.500 0.500
In2 0.500 0.000 0.500
Hg1 0.500 0.500 0.000

Summary:
* V: 92.1 Å³/cell
* space-group type: Cmmm, No. 65
* ρ: 9.402 g/cm³
* formation enthalpy at 0 K: -14.2 kJ per mole of atoms

Computed, not measured: a relaxed structure of AsWCSe2 at the PBE level of DFT.

Lattice parameters (Å, degrees): 4.319 4.319 4.228 90.00 90.00 90.00
Atoms (fractional coordinates):
As1 0.000 0.000 0.000
W1 0.500 0.500 0.000
C1 0.000 0.000 0.500
Se1 0.000 0.500 0.500
Se2 0.500 0.000 0.500

Summary:
* V: 78.9 Å³/cell
* offset from the most stable computed form: 0 meV/atom
* space-group type: P4/mmm, No. 123
* ρ: 9.026 g/cm³
* formation energy (no corrections): 7.200 eV/f.u.

Computed, not measured: a relaxed structure of BaNaP2O at the PBE level of DFT.

Lattice parameters (Å, degrees): 6.340 6.340 4.647 90.00 90.00 90.00
Atoms (fractional coordinates):
Ba1 0.000 0.000 0.000
Na1 0.500 0.500 0.500
P1 0.000 0.500 0.000
P2 0.500 0.000 0.000
O1 0.000 0.000 0.500

Summary:
* V: 186.8 Å³/cell
* offset from the most stable computed form: 250 meV/atom
* space-group type: P4/mmm, No. 123
* ρ: 2.118 g/cm³
* formation energy (no corrections): 1.938 eV/f.u.

no.,energy (eV per atom)
1,-3.7284
2,-5.3190
3,-3.4164